# PBE-GGA La5NdAg6, relaxed
# formation energy = -255.9 meV/atom
data_La5NdAg6
_chemical_formula_sum 'La10 Nd2 Ag12'
_space_group_name_H-M_alt 'C m m m'
_space_group_IT_number 65
_space_group_name_Hall '-C 2 2'
_cell_length_a 5.432
_cell_length_b 16.272
_cell_length_c 7.535
_cell_angle_alpha 90.00
_cell_angle_beta 90.00
_cell_angle_gamma 90.00
loop_
_atom_site_label
_atom_site_type_symbol
_atom_site_fract_x
_atom_site_fract_y
_atom_site_fract_z
La1 La 0.000 0.000 0.000
La2 La 0.000 0.332 0.000
La3 La 0.000 0.334 0.500
Nd1 Nd 0.000 0.000 0.500
Ag1 Ag 0.000 0.165 0.253
Ag2 Ag 0.000 0.500 0.255

=====

# PBE-GGA La4Nd3Ag, relaxed
# formation energy = -45.5 meV/atom
data_La4Nd3Ag
_chemical_formula_sum 'La4 Nd3 Ag1'
_space_group_name_H-M_alt 'P 4/m m m'
_space_group_IT_number 123
_space_group_name_Hall '-P 4 2'
_cell_length_a 3.755
_cell_length_b 3.755
_cell_length_c 19.430
_cell_angle_alpha 90.00
_cell_angle_beta 90.00
_cell_angle_gamma 90.00
loop_
_atom_site_label
_atom_site_type_symbol
_atom_site_fract_x
_atom_site_fract_y
_atom_site_fract_z
La1 La 0.000 0.000 0.101
La2 La 0.000 0.000 0.367
Nd1 Nd 0.500 0.500 0.236
Nd2 Nd 0.500 0.500 0.500
Ag1 Ag 0.500 0.500 0.000

=====

# PBE-GGA LaNd5Ag6, relaxed
# formation energy = -254.8 meV/atom
data_LaNd5Ag6
_chemical_formula_sum 'La2 Nd10 Ag12'
_space_group_name_H-M_alt 'C m m m'
_space_group_IT_number 65
_space_group_name_Hall '-C 2 2'
_cell_length_a 5.367
_cell_length_b 16.089
_cell_length_c 7.444
_cell_angle_alpha 90.00
_cell_angle_beta 90.00
_cell_angle_gamma 90.00
loop_
_atom_site_label
_atom_site_type_symbol
_atom_site_fract_x
_atom_site_fract_y
_atom_site_fract_z
La1 La 0.000 0.000 0.000
Nd1 Nd 0.000 0.000 0.500
Nd2 Nd 0.000 0.332 0.000
Nd3 Nd 0.000 0.334 0.500
Ag1 Ag 0.000 0.168 0.253
Ag2 Ag 0.000 0.500 0.254

=====

# PBE-GGA LaNd2Ag, relaxed
# formation energy = -110.3 meV/atom
# distance to the lowest polymorph of the same formula = 0 meV/atom
data_LaNd2Ag
_chemical_formula_sum 'La1 Nd2 Ag1'
_space_group_name_H-M_alt 'P 4/m m m'
_space_group_IT_number 123
_space_group_name_Hall '-P 4 2'
_cell_length_a 3.770
_cell_length_b 3.770
_cell_length_c 8.744
_cell_angle_alpha 90.00
_cell_angle_beta 90.00
_cell_angle_gamma 90.00
loop_
_atom_site_label
_atom_site_type_symbol
_atom_site_fract_x
_atom_site_fract_y
_atom_site_fract_z
La1 La 0.000 0.000 0.000
Nd1 Nd 0.500 0.500 0.288
Ag1 Ag 0.000 0.000 0.500

=====

# PBE-GGA La2Nd2Ag, relaxed
# formation energy = -8.9 meV/atom
# distance to the lowest polymorph of the same formula = 77 meV/atom
data_La2Nd2Ag
_chemical_formula_sum 'La8 Nd8 Ag4'
_space_group_name_H-M_alt 'C 1 2/m 1'
_space_group_IT_number 12
_cell_length_a 8.491
_cell_length_b 9.598
_cell_length_c 8.601
_cell_angle_alpha 90.00
_cell_angle_beta 113.52
_cell_angle_gamma 90.00
loop_
_space_group_symop_operation_xyz
'x,y,z'
'-x,-y,-z'
'-x,y,-z'
'x,-y,z'
'x+1/2,y+1/2,z'
'-x+1/2,-y+1/2,-z'
'-x+1/2,y+1/2,-z'
'x+1/2,-y+1/2,z'
loop_
_atom_site_label
_atom_site_type_symbol
_atom_site_fract_x
_atom_site_fract_y
_atom_site_fract_z
La1 La 0.167 0.000 0.430
La2 La 0.219 0.500 0.116
Nd1 Nd 0.082 0.310 0.726
Ag1 Ag 0.000 0.156 0.000

=====

# PBE-GGA LaNdAg4, relaxed
# formation energy = -268.0 meV/atom
# distance to the lowest polymorph of the same formula = 0 meV/atom
data_LaNdAg4
_chemical_formula_sum 'La1 Nd1 Ag4'
_space_group_name_H-M_alt 'P m m m'
_space_group_IT_number 47
_cell_length_a 3.651
_cell_length_b 4.855
_cell_length_c 8.316
_cell_angle_alpha 90.00
_cell_angle_beta 90.00
_cell_angle_gamma 90.00
loop_
_space_group_symop_operation_xyz
'x,y,z'
'-x,-y,-z'
'-x,-y,z'
'x,y,-z'
'x,-y,-z'
'-x,y,z'
'-x,y,-z'
'x,-y,z'
loop_
_atom_site_label
_atom_site_type_symbol
_atom_site_fract_x
_atom_site_fract_y
_atom_site_fract_z
La1 La 0.000 0.000 0.000
Nd1 Nd 0.000 0.500 0.500
Ag1 Ag 0.500 0.000 0.334
Ag2 Ag 0.500 0.500 0.169

=====

# PBE-GGA La6NdAg2, relaxed
# formation energy = -105.5 meV/atom
# distance to the lowest polymorph of the same formula = 0 meV/atom
data_La6NdAg2
_chemical_formula_sum 'La12 Nd2 Ag4'
_space_group_name_H-M_alt 'C 1 2/m 1'
_space_group_IT_number 12
_cell_length_a 13.083
_cell_length_b 3.826
_cell_length_c 12.341
_cell_angle_alpha 90.00
_cell_angle_beta 107.79
_cell_angle_gamma 90.00
loop_
_space_group_symop_operation_xyz
'x,y,z'
'-x,-y,-z'
'-x,y,-z'
'x,-y,z'
'x+1/2,y+1/2,z'
'-x+1/2,-y+1/2,-z'
'-x+1/2,y+1/2,-z'
'x+1/2,-y+1/2,z'
loop_
_atom_site_label
_atom_site_type_symbol
_atom_site_fract_x
_atom_site_fract_y
_atom_site_fract_z
La1 La 0.027 0.000 0.332
La2 La 0.183 0.500 0.877
La3 La 0.188 0.500 0.591
Nd1 Nd 0.000 0.000 0.000
Ag1 Ag 0.145 0.500 0.193

=====

# PBE-GGA LaNd2Ag3, relaxed
# formation energy = -258.1 meV/atom
data_LaNd2Ag3
_chemical_formula_sum 'La1 Nd2 Ag3'
_space_group_name_H-M_alt 'P 4/m m m'
_space_group_IT_number 123
_space_group_name_Hall '-P 4 2'
_cell_length_a 3.759
_cell_length_b 3.759
_cell_length_c 11.454
_cell_angle_alpha 90.00
_cell_angle_beta 90.00
_cell_angle_gamma 90.00
loop_
_atom_site_label
_atom_site_type_symbol
_atom_site_fract_x
_atom_site_fract_y
_atom_site_fract_z
La1 La 0.000 0.000 0.000
Nd1 Nd 0.000 0.000 0.335
Ag1 Ag 0.500 0.500 0.174
Ag2 Ag 0.500 0.500 0.500